Record 1
Below is a relaxed TaSe3 crystal, with properties calculated at the PBE-GGA level.

Cell lengths 5.024, 3.602, 5.479 Å; angles 90.00, 108.20, 90.00 degrees
Positions (direct):
Ta 0.000 0.000 0.000
Se 0.164 0.500 0.364
Se 0.500 0.000 0.000
Se 0.836 0.500 0.636

E: -24.1 eV/cell
total magnetic moment: 0.000 μB per atom
SG: No. 10
ΔE_f (raw): -453 meV/atom
V: 23.55 Å³ per atom


Record 2
Below is a relaxed Ta3Se crystal, with properties calculated at the PBE-GGA level.

Cell lengths 7.570, 8.382, 4.515 Å; angles 90.00, 90.00, 90.00 degrees
Positions (direct):
Ta 0.000 0.139 0.250
Ta 0.000 0.861 0.750
Ta 0.244 0.107 0.750
Ta 0.244 0.893 0.250
Ta 0.256 0.393 0.250
Ta 0.256 0.607 0.750
Ta 0.500 0.361 0.750
Ta 0.500 0.639 0.250
Ta 0.744 0.393 0.250
Ta 0.744 0.607 0.750
Ta 0.756 0.107 0.750
Ta 0.756 0.893 0.250
Se 0.000 0.356 0.750
Se 0.000 0.644 0.250
Se 0.500 0.144 0.250
Se 0.500 0.856 0.750

E: -155.6 eV/cell
total magnetic moment: 0.000 μB per atom
SG: No. 63
ΔE_f (raw): 34 meV/atom
V: 17.91 Å³ per atom
polymorph energy (0 for the lowest one): 0.056 eV per atom


Record 3
Below is a relaxed Ta5Se crystal, with properties calculated at the PBE-GGA level.

Cell lengths 5.054, 5.054, 4.977 Å; angles 90.00, 90.00, 120.00 degrees
Positions (direct):
Ta 0.000 0.659 0.000
Ta 0.333 0.667 0.500
Ta 0.341 0.341 0.000
Ta 0.659 0.000 0.000
Ta 0.667 0.333 0.500
Se 0.000 0.000 0.500

E: -61.3 eV/cell
total magnetic moment: 0.000 μB per atom
SG: No. 189
ΔE_f (raw): 240 meV/atom
V: 18.35 Å³ per atom
polymorph energy (0 for the lowest one): 0.265 eV per atom


Record 4
Below is a relaxed TaSe3 crystal, with properties calculated at the PBE-GGA level.

Cell lengths 4.690, 4.690, 6.684 Å; angles 90.00, 90.00, 90.00 degrees
Positions (direct):
Ta 0.000 0.000 0.000
Ta 0.500 0.500 0.500
Se 0.000 0.000 0.500
Se 0.000 0.500 0.250
Se 0.000 0.500 0.750
Se 0.500 0.000 0.250
Se 0.500 0.000 0.750
Se 0.500 0.500 0.000

E: -42.9 eV/cell
total magnetic moment: 0.000 μB per atom
SG: No. 139
ΔE_f (raw): 212 meV/atom
V: 18.38 Å³ per atom


Record 5
Below is a relaxed TaSe2 crystal, with properties calculated at the PBE-GGA level.

Cell lengths 3.476, 13.989, 5.222 Å; angles 90.00, 90.00, 90.00 degrees
Positions (direct):
Ta 0.000 0.195 0.250
Ta 0.000 0.805 0.750
Ta 0.500 0.305 0.750
Ta 0.500 0.695 0.250
Se 0.000 0.161 0.750
Se 0.000 0.440 0.750
Se 0.000 0.560 0.250
Se 0.000 0.839 0.250
Se 0.500 0.060 0.250
Se 0.500 0.339 0.250
Se 0.500 0.661 0.750
Se 0.500 0.940 0.750

E: -82.2 eV/cell
total magnetic moment: 0.000 μB per atom
SG: No. 63
ΔE_f (raw): -579 meV/atom
V: 21.16 Å³ per atom


Record 6
Below is a relaxed Ta2Se3 crystal, with properties calculated at the PBE-GGA level.

Cell lengths 3.379, 3.379, 31.289 Å; angles 90.00, 90.00, 120.00 degrees
Positions (direct):
Ta 0.000 0.000 0.104
Ta 0.000 0.000 0.896
Ta 0.333 0.667 0.563
Ta 0.333 0.667 0.770
Ta 0.667 0.333 0.230
Ta 0.667 0.333 0.437
Se 0.000 0.000 0.283
Se 0.000 0.000 0.500
Se 0.000 0.000 0.717
Se 0.333 0.667 0.167
Se 0.333 0.667 0.384
Se 0.333 0.667 0.950
Se 0.667 0.333 0.050
Se 0.667 0.333 0.616
Se 0.667 0.333 0.833

E: -109.5 eV/cell
total magnetic moment: 0.000 μB per atom
SG: No. 166
ΔE_f (raw): -465 meV/atom
V: 20.62 Å³ per atom


Record 7
Below is a relaxed Ta4Se crystal, with properties calculated at the PBE-GGA level.

Cell lengths 3.634, 3.634, 15.118 Å; angles 90.00, 90.00, 90.00 degrees
Positions (direct):
Ta 0.000 0.000 0.096
Ta 0.000 0.000 0.904
Ta 0.000 0.500 0.250
Ta 0.000 0.500 0.750
Ta 0.500 0.000 0.250
Ta 0.500 0.000 0.750
Ta 0.500 0.500 0.404
Ta 0.500 0.500 0.596
Se 0.000 0.000 0.500
Se 0.500 0.500 0.000

E: -94.8 eV/cell
total magnetic moment: 0.000 μB per atom
SG: No. 139
ΔE_f (raw): 703 meV/atom
V: 19.97 Å³ per atom
polymorph energy (0 for the lowest one): 0.000 eV per atom


Record 8
Below is a relaxed TaSe2 crystal, with properties calculated at the PBE-GGA level.

Cell lengths 4.632, 4.632, 6.039 Å; angles 90.00, 90.00, 120.00 degrees
Positions (direct):
Ta 0.333 0.667 0.250
Ta 0.667 0.333 0.750
Se 0.000 0.000 0.000
Se 0.000 0.000 0.500
Se 0.333 0.667 0.750
Se 0.667 0.333 0.250

E: -36.6 eV/cell
total magnetic moment: 0.000 μB per atom
SG: No. 194
ΔE_f (raw): 181 meV/atom
V: 18.70 Å³ per atom


Record 9
Below is a relaxed TaSe3 crystal, with properties calculated at the PBE-GGA level.

Cell lengths 3.240, 12.093, 5.911 Å; angles 90.00, 90.00, 90.00 degrees
Positions (direct):
Ta 0.000 0.000 0.000
Ta 0.500 0.500 0.500
Se 0.000 0.355 0.664
Se 0.000 0.500 0.162
Se 0.000 0.645 0.664
Se 0.500 0.000 0.662
Se 0.500 0.145 0.164
Se 0.500 0.855 0.164

E: -48.4 eV/cell
total magnetic moment: 0.000 μB per atom
SG: No. 44
ΔE_f (raw): -473 meV/atom
V: 28.95 Å³ per atom


Record 10
Below is a relaxed TaSe2 crystal, with properties calculated at the PBE-GGA level.

Cell lengths 3.469, 3.469, 20.754 Å; angles 90.00, 90.00, 120.00 degrees
Positions (direct):
Ta 0.000 0.000 0.000
Ta 0.333 0.667 0.667
Ta 0.667 0.333 0.333
Se 0.000 0.000 0.252
Se 0.000 0.000 0.414
Se 0.333 0.667 0.081
Se 0.333 0.667 0.919
Se 0.667 0.333 0.586
Se 0.667 0.333 0.748

E: -63.8 eV/cell
total magnetic moment: 0.004 μB per atom
SG: No. 160
ΔE_f (raw): -820 meV/atom
V: 24.03 Å³ per atom


Record 11
Below is a relaxed Ta4Se3 crystal, with properties calculated at the PBE-GGA level.

Cell lengths 3.339, 3.339, 23.480 Å; angles 90.00, 90.00, 90.00 degrees
Positions (direct):
Ta 0.000 0.000 0.064
Ta 0.000 0.000 0.360
Ta 0.000 0.000 0.640
Ta 0.000 0.000 0.936
Ta 0.500 0.500 0.140
Ta 0.500 0.500 0.436
Ta 0.500 0.500 0.564
Ta 0.500 0.500 0.860
Se 0.000 0.000 0.193
Se 0.000 0.000 0.500
Se 0.000 0.000 0.807
Se 0.500 0.500 0.000
Se 0.500 0.500 0.307
Se 0.500 0.500 0.693

E: -118.0 eV/cell
total magnetic moment: 0.000 μB per atom
SG: No. 139
ΔE_f (raw): -165 meV/atom
V: 18.69 Å³ per atom
polymorph energy (0 for the lowest one): 0.000 eV per atom


Record 12
Below is a relaxed Ta3Se crystal, with properties calculated at the PBE-GGA level.

Cell lengths 3.916, 3.916, 9.257 Å; angles 90.00, 90.00, 90.00 degrees
Positions (direct):
Ta 0.000 0.000 0.000
Ta 0.000 0.500 0.250
Ta 0.000 0.500 0.750
Ta 0.500 0.000 0.250
Ta 0.500 0.000 0.750
Ta 0.500 0.500 0.500
Se 0.000 0.000 0.500
Se 0.500 0.500 0.000

E: -76.2 eV/cell
total magnetic moment: 0.000 μB per atom
SG: No. 139
ΔE_f (raw): 230 meV/atom
V: 17.74 Å³ per atom
polymorph energy (0 for the lowest one): 0.252 eV per atom